Material: Li2Tb
Method: DFT, PBE
State: relaxed

Unit cell a=4.949 b=4.949 c=3.247 alpha=90.00 beta=90.00 gamma=120.00
Atoms (fractional coordinates):
Li 0.333 0.667 0.000
Li 0.667 0.333 0.000
Tb 0.000 0.000 0.500

Output
* E_tot: -2.642 eV per atom
* space-group type: P6/mmm, No. 191
* relative energy among the computed polymorphs: 54 meV/atom


Material: NbZnCuPb
Method: DFT, PBE
State: relaxed

Unit cell a=4.693 b=4.693 c=4.693 alpha=60.00 beta=60.00 gamma=60.00
Atoms (fractional coordinates):
Nb 0.000 0.000 0.000
Zn 0.250 0.250 0.250
Cu 0.750 0.750 0.750
Pb 0.500 0.500 0.500

Output
* E_tot: -4.164 eV per atom
* space-group type: F-43m, No. 216
* relative energy among the computed polymorphs: 28 meV/atom


Material: NdNbSn
Method: DFT, PBE
State: relaxed

Unit cell a=4.948 b=4.948 c=4.948 alpha=60.00 beta=60.00 gamma=60.00
Atoms (fractional coordinates):
Nd 0.000 0.000 0.000
Nb 0.500 0.500 0.500
Sn 0.750 0.750 0.750

Output
* E_tot: -6.050 eV per atom
* space-group type: F-43m, No. 216


Material: Zr2GaN
Method: DFT, PBE
State: relaxed

Unit cell a=5.666 b=5.666 c=14.399 alpha=101.36 beta=101.36 gamma=60.02
Atoms (fractional coordinates):
Zr 0.030 0.864 0.590
Zr 0.136 0.970 0.910
Zr 0.197 0.364 0.091
Zr 0.303 0.469 0.409
Zr 0.364 0.197 0.591
Zr 0.469 0.303 0.909
Zr 0.531 0.697 0.091
Zr 0.636 0.803 0.409
Zr 0.697 0.531 0.591
Zr 0.803 0.636 0.909
Zr 0.864 0.030 0.090
Zr 0.970 0.136 0.410
Ga 0.081 0.248 0.750
Ga 0.248 0.081 0.250
Ga 0.414 0.586 0.750
Ga 0.586 0.414 0.250
Ga 0.752 0.919 0.750
Ga 0.919 0.752 0.250
N 0.000 0.500 0.500
N 0.167 0.666 0.000
N 0.334 0.833 0.500
N 0.500 0.000 0.000
N 0.666 0.167 0.500
N 0.833 0.334 0.000

Output
* E_tot: -8.254 eV per atom
* space-group type: C2/c, No. 15


Material: GdInB
Method: DFT, PBE
State: relaxed

Unit cell a=4.361 b=4.361 c=4.361 alpha=60.00 beta=60.00 gamma=60.00
Atoms (fractional coordinates):
Gd 0.000 0.000 0.000
In 0.500 0.500 0.500
B 0.250 0.250 0.250

Output
* E_tot: -4.686 eV per atom
* space-group type: F-43m, No. 216
* relative energy among the computed polymorphs: 0 meV/atom


Material: RbAg3PtS4
Method: DFT, PBE
State: relaxed

Unit cell a=6.317 b=6.317 c=6.317 alpha=90.00 beta=90.00 gamma=90.00
Atoms (fractional coordinates):
Rb 0.000 0.000 0.000
Ag 0.000 0.500 0.500
Ag 0.500 0.000 0.500
Ag 0.500 0.500 0.000
Pt 0.500 0.500 0.500
S 0.285 0.285 0.285
S 0.285 0.715 0.715
S 0.715 0.285 0.715
S 0.715 0.715 0.285

Output
* E_tot: -3.638 eV per atom
* space-group type: P-43m, No. 215


Material: PaHS
Method: DFT, PBE
State: relaxed

Unit cell a=3.928 b=3.928 c=5.833 alpha=90.00 beta=90.00 gamma=90.00
Atoms (fractional coordinates):
Pa 0.250 0.250 0.206
Pa 0.750 0.750 0.794
H 0.250 0.750 0.000
H 0.750 0.250 0.000
S 0.250 0.250 0.689
S 0.750 0.750 0.311

Output
* E_tot: -6.772 eV per atom
* space-group type: P4/nmm, No. 129


Material: Ba2SnHg
Method: DFT, PBE
State: relaxed

Unit cell a=7.272 b=7.272 c=7.272 alpha=109.85 beta=106.24 gamma=112.38
Atoms (fractional coordinates):
Ba 0.275 0.000 0.775
Ba 0.275 0.500 0.275
Ba 0.725 0.000 0.225
Ba 0.725 0.500 0.725
Sn 0.209 0.459 0.750
Sn 0.791 0.541 0.250
Hg 0.207 0.957 0.250
Hg 0.793 0.043 0.750

Output
* E_tot: -2.603 eV per atom
* space-group type: Imma, No. 74
* relative energy among the computed polymorphs: 69 meV/atom